Here is crystalline CaGeAu11 at its relaxed geometry from Alexandria via LeMat-Bulk. Energies are from PBE.

total moment: 0.0 μB/cell
symmetry: C2/m
theoretical density: 14.820 g/cm3
V: 19.65 A^3/atom
formation enthalpy at 0 K: -2.033 eV per formula unit

Lattice parameters (Å, degrees): 5.463 7.184 7.298 84.11 68.02 74.08
Positions (direct):
1 Ge 0.500 0.500 0.000
2 Au 0.000 0.500 0.000
3 Au 0.050 0.348 0.640
4 Au 0.689 0.348 0.360
5 Au 0.677 0.783 0.790
6 Au 0.467 0.783 0.210
7 Au 0.323 0.217 0.210
8 Au 0.311 0.652 0.640
9 Au 0.533 0.217 0.790
10 Au 0.950 0.652 0.360
11 Au 0.500 0.000 0.500
12 Au 0.000 0.000 0.500
13 Ca 0.000 0.000 0.000

Here is crystalline AcAgIO2 at its relaxed geometry from Alexandria via LeMat-Bulk. Energies are from PBE.

total moment: 1.9 μB/cell
symmetry: Cmcm
theoretical density: 6.607 g/cm3
raw formation energy: -1.600 eV/atom
V: 24.82 A^3/atom

Lattice parameters (Å, degrees): 6.040 5.996 7.480 113.63 90.00 90.00
Site moments in Bohr magnetons follow the coordinates.
Positions (direct):
1 Ag 0.250 0.978 0.956  0.36
2 Ag 0.750 0.022 0.044  0.36
3 O 0.500 0.738 0.000  0.23
4 O 0.500 0.262 0.000  0.23
5 O 0.000 0.738 0.000  0.23
6 O 0.000 0.262 0.000  0.23
7 Ac 0.750 0.403 0.806  0.02
8 Ac 0.250 0.597 0.194  0.02
9 I 0.250 0.250 0.501  0.01
10 I 0.750 0.750 0.499  0.01

Here is crystalline ThAgBi at its relaxed geometry from Alexandria via LeMat-Bulk. Energies are from PBE.

total moment: 0.0 μB/cell
symmetry: I4mm
theoretical density: 10.817 g/cm3
V: 28.09 A^3/atom
formation enthalpy at 0 K: -0.513 eV per formula unit

Lattice parameters (Å, degrees): 4.169 4.169 5.675 111.55 111.55 90.00
Positions (direct):
1 Bi 0.952 0.952 0.905
2 Th 0.614 0.614 0.229
3 Ag 0.283 0.283 0.566

Here is crystalline ZnGa6Pd2 at its relaxed geometry from Alexandria via LeMat-Bulk. Energies are from PBE.

total moment: 0.0 μB/cell
energy relative to the lowest polymorph listed for this composition: 0 meV/atom
symmetry: P2_1/c
theoretical density: 7.322 g/cm3
V: 17.55 A^3/atom
formation enthalpy at 0 K: -2.280 eV per formula unit

Lattice parameters (Å, degrees): 6.515 6.442 7.684 90.00 78.47 90.00
Positions (direct):
1 Ga 0.184 0.384 0.415
2 Ga 0.875 0.670 0.944
3 Ga 0.862 0.033 0.207
4 Ga 0.684 0.116 0.915
5 Ga 0.125 0.330 0.056
6 Ga 0.625 0.170 0.556
7 Ga 0.375 0.830 0.444
8 Ga 0.138 0.967 0.793
9 Ga 0.638 0.533 0.293
10 Ga 0.362 0.467 0.707
11 Ga 0.816 0.616 0.585
12 Ga 0.316 0.884 0.085
13 Zn 0.000 0.000 0.500
14 Zn 0.500 0.500 0.000
15 Pd 0.487 0.170 0.242
16 Pd 0.513 0.830 0.758
17 Pd 0.013 0.670 0.258
18 Pd 0.987 0.330 0.742

Here is crystalline PaCdPt at its relaxed geometry from Alexandria via LeMat-Bulk. Energies are from PBE.

total moment: 0.0 μB/cell
symmetry: P6_3/mmc
theoretical density: 13.576 g/cm3
V: 21.96 A^3/atom
formation enthalpy at 0 K: -1.744 eV per formula unit

Lattice parameters (Å, degrees): 5.171 5.171 5.687 90.00 90.00 119.97
Positions (direct):
1 Pt 0.333 0.167 0.750
2 Pt 0.667 0.833 0.250
3 Cd 0.000 0.500 0.000
4 Cd 0.000 0.500 0.500
5 Pa 0.333 0.167 0.250
6 Pa 0.667 0.833 0.750

Here is crystalline PmSmGaIr at its relaxed geometry from Alexandria via LeMat-Bulk. Energies are from PBE.

total moment: 0.0 μB/cell
energy relative to the lowest polymorph listed for this composition: 0 meV/atom
symmetry: Amm2
theoretical density: 9.554 g/cm3
V: 24.22 A^3/atom
formation enthalpy at 0 K: -2.662 eV per formula unit

Lattice parameters (Å, degrees): 4.109 4.333 5.816 90.00 110.69 90.00
Positions (direct):
1 Ga 0.568 0.500 0.136
2 Pm 0.860 0.500 0.720
3 Ir 0.431 0.000 0.862
4 Sm 0.141 0.000 0.281

Here is crystalline Tb2TmSc at its relaxed geometry from Alexandria via LeMat-Bulk. Energies are from PBE.

total moment: 0.0 μB/cell
energy relative to the lowest polymorph listed for this composition: 2 meV/atom
symmetry: R3m
theoretical density: 7.461 g/cm3
V: 29.59 A^3/atom
formation enthalpy at 0 K: 0.146 eV per formula unit

Lattice parameters (Å, degrees): 3.505 3.505 11.307 81.08 81.08 60.00
Positions (direct):
1 Sc 0.667 0.667 0.000
2 Tm 0.500 0.500 0.500
3 Tb 0.081 0.081 0.756
4 Tb 0.252 0.252 0.244

Here is crystalline Ge2TeH at its relaxed geometry from Alexandria via LeMat-Bulk. Energies are from PBE.

total moment: 0.0 μB/cell
energy relative to the lowest polymorph listed for this composition: 274 meV/atom
symmetry: Fm-3m
theoretical density: 5.761 g/cm3
V: 19.73 A^3/atom

Lattice parameters (Å, degrees): 4.815 4.815 4.815 60.00 60.00 60.00
Positions (direct):
1 H 0.000 0.000 0.000
2 Ge 0.750 0.750 0.750
3 Ge 0.250 0.250 0.250
4 Te 0.500 0.500 0.500

Here is crystalline Ca4MgIn at its relaxed geometry from Alexandria via LeMat-Bulk. Energies are from PBE.

total moment: 0.0 μB/cell
energy relative to the lowest polymorph listed for this composition: 0 meV/atom
symmetry: C2/m
theoretical density: 2.448 g/cm3
V: 33.86 A^3/atom
formation enthalpy at 0 K: -1.205 eV per formula unit

Lattice parameters (Å, degrees): 3.970 7.138 9.007 115.67 77.27 73.85
Positions (direct):
1 Ca 0.314 0.045 0.328
2 Ca 0.686 0.955 0.672
3 Ca 0.170 0.475 0.184
4 Ca 0.830 0.525 0.816
5 Mg 0.000 0.000 0.000
6 In 0.500 0.500 0.500

Here is crystalline Mg2NiAg at its relaxed geometry from Alexandria via LeMat-Bulk. Energies are from PBE.

total moment: 0.0 μB/cell
symmetry: C2/m
theoretical density: 5.318 g/cm3
V: 16.80 A^3/atom
formation enthalpy at 0 K: -0.049 eV per formula unit

Lattice parameters (Å, degrees): 4.684 4.684 5.175 78.55 78.55 37.25
Positions (direct):
1 Ag 0.250 0.250 0.250
2 Mg 0.491 0.491 0.516
3 Mg 0.009 0.009 0.984
4 Ni 0.750 0.750 0.750

Here is crystalline YEr2Tl4 at its relaxed geometry from Alexandria via LeMat-Bulk. Energies are from PBE.

total moment: 0.0 μB/cell
energy relative to the lowest polymorph listed for this composition: 224 meV/atom
symmetry: Pm
theoretical density: 9.821 g/cm3
V: 29.98 A^3/atom
formation enthalpy at 0 K: -0.001 eV per formula unit

Lattice parameters (Å, degrees): 3.482 5.951 10.842 110.95 90.00 90.00
Positions (direct):
1 Y 0.000 0.073 0.072
2 Er 0.500 0.382 0.662
3 Er 0.500 0.758 0.481
4 Tl 0.500 0.955 0.793
5 Tl 0.500 0.186 0.349
6 Tl 0.000 0.489 0.922
7 Tl 0.000 0.656 0.221

Here is crystalline Co4NiTe at its relaxed geometry from Alexandria via LeMat-Bulk. Energies are from PBE.

total moment: 7.4 μB/cell
symmetry: F-43m
theoretical density: 8.867 g/cm3
raw formation energy: 0.346 eV/atom
V: 13.17 A^3/atom

Lattice parameters (Å, degrees): 4.817 4.817 4.817 60.00 60.00 60.00
Site moments in Bohr magnetons follow the coordinates.
Positions (direct):
1 Ni 0.750 0.750 0.750  0.56
2 Co 0.376 0.871 0.376  1.73
3 Co 0.376 0.376 0.871  1.73
4 Co 0.871 0.376 0.376  1.73
5 Co 0.376 0.376 0.376  1.73
6 Te 0.000 0.000 0.000  0.05

Here is crystalline Ca2ZnRe at its relaxed geometry from Alexandria via LeMat-Bulk. Energies are from PBE.

total moment: 0.0 μB/cell
symmetry: P4/mmm
theoretical density: 6.475 g/cm3
V: 21.27 A^3/atom
formation enthalpy at 0 K: 2.563 eV per formula unit

Lattice parameters (Å, degrees): 4.352 4.352 4.492 90.00 90.00 90.00
Positions (direct):
1 Zn 0.000 0.500 0.500
2 Ca 0.000 0.000 0.000
3 Ca 0.500 0.500 0.000
4 Re 0.500 0.000 0.500

Here is crystalline KTc2AuO8 at its relaxed geometry from Alexandria via LeMat-Bulk. Energies are from PBE.

total moment: 0.0 μB/cell
symmetry: C2/m
theoretical density: 4.188 g/cm3
raw formation energy: -1.253 eV/atom
V: 18.51 A^3/atom

Lattice parameters (Å, degrees): 5.880 6.638 7.525 59.76 67.00 63.71
Positions (direct):
1 Tc 0.700 0.777 0.823
2 Tc 0.300 0.223 0.177
3 O 0.387 0.970 0.773
4 O 0.139 0.386 0.335
5 O 0.870 0.970 0.773
6 O 0.330 0.427 0.913
7 O 0.670 0.573 0.087
8 O 0.130 0.030 0.227
9 O 0.613 0.030 0.227
10 O 0.861 0.614 0.665
11 Au 0.000 0.000 0.000
12 K 0.500 0.500 0.500

Here is crystalline MgZrMo at its relaxed geometry from Alexandria via LeMat-Bulk. Energies are from PBE.

total moment: 0.0 μB/cell
energy relative to the lowest polymorph listed for this composition: 0 meV/atom
symmetry: P4/nmm
theoretical density: 5.734 g/cm3
V: 20.41 A^3/atom
formation enthalpy at 0 K: -0.040 eV per formula unit

Lattice parameters (Å, degrees): 3.194 3.194 12.007 90.00 90.00 90.00
Positions (direct):
1 Mo 0.000 0.500 0.940
2 Mo 0.500 0.000 0.060
3 Zr 0.500 0.000 0.784
4 Zr 0.000 0.500 0.216
5 Mg 0.000 0.500 0.591
6 Mg 0.500 0.000 0.409

Here is crystalline MgTi2Cr at its relaxed geometry from Alexandria via LeMat-Bulk. Energies are from PBE.

total moment: 0.0 μB/cell
energy relative to the lowest polymorph listed for this composition: 696 meV/atom
symmetry: I-42d
theoretical density: 4.214 g/cm3
V: 16.95 A^3/atom
formation enthalpy at 0 K: 2.992 eV per formula unit

Lattice parameters (Å, degrees): 3.784 3.784 9.839 78.91 78.91 90.00
Positions (direct):
1 Cr 0.000 0.000 0.000
2 Cr 0.750 0.250 0.500
3 Ti 0.106 0.625 0.250
4 Ti 0.375 0.356 0.750
5 Ti 0.875 0.894 0.750
6 Ti 0.644 0.125 0.250
7 Mg 0.500 0.500 0.000
8 Mg 0.250 0.750 0.500

Here is crystalline LiTl2Hg at its relaxed geometry from Alexandria via LeMat-Bulk. Energies are from PBE.

total moment: 0.0 μB/cell
energy relative to the lowest polymorph listed for this composition: 48 meV/atom
symmetry: Fm-3m
theoretical density: 9.983 g/cm3
V: 25.63 A^3/atom
formation enthalpy at 0 K: -0.338 eV per formula unit

Lattice parameters (Å, degrees): 5.253 5.253 5.253 60.00 60.00 60.00
Positions (direct):
1 Tl 0.750 0.750 0.750
2 Tl 0.250 0.250 0.250
3 Hg 0.500 0.500 0.500
4 Li 0.000 0.000 0.000

Here is crystalline Dy4ZnPd2 at its relaxed geometry from Alexandria via LeMat-Bulk. Energies are from PBE.

total moment: 0.0 μB/cell
energy relative to the lowest polymorph listed for this composition: 59 meV/atom
symmetry: R-3m
theoretical density: 8.601 g/cm3
V: 25.60 A^3/atom
formation enthalpy at 0 K: -3.385 eV per formula unit

Lattice parameters (Å, degrees): 4.794 4.794 9.419 75.26 75.26 60.00
Positions (direct):
1 Dy 0.379 0.379 0.862
2 Dy 0.206 0.206 0.383
3 Dy 0.621 0.621 0.138
4 Dy 0.794 0.794 0.617
5 Pd 0.096 0.096 0.711
6 Pd 0.904 0.904 0.289
7 Zn 0.000 0.000 0.000

Here is crystalline RbBaCa2Ga at its relaxed geometry from Alexandria via LeMat-Bulk. Energies are from PBE.

total moment: 0.0 μB/cell
symmetry: P4/mmm
theoretical density: 2.509 g/cm3
V: 49.32 A^3/atom
formation enthalpy at 0 K: -0.160 eV per formula unit

Lattice parameters (Å, degrees): 6.120 6.120 6.584 90.00 90.00 90.00
Positions (direct):
1 Ca 0.000 0.500 0.000
2 Ca 0.500 0.000 0.000
3 Ba 0.000 0.000 0.500
4 Rb 0.500 0.500 0.500
5 Ga 0.000 0.000 0.000

Here is crystalline BaZnCrGe2 at its relaxed geometry from Alexandria via LeMat-Bulk. Energies are from PBE.

total moment: 0.2 μB/cell
symmetry: P4/mmm
theoretical density: 5.968 g/cm3
V: 22.26 A^3/atom
formation enthalpy at 0 K: -1.009 eV per formula unit

Lattice parameters (Å, degrees): 4.730 4.730 4.973 90.00 90.00 90.00
Site moments in Bohr magnetons follow the coordinates.
Positions (direct):
1 Zn 0.000 0.000 0.500  0.00
2 Cr 0.000 0.000 0.000  0.26
3 Ba 0.500 0.500 0.500  -0.01
4 Ge 0.500 0.000 0.000  -0.02
5 Ge 0.000 0.500 0.000  -0.02